No. 1
A relaxed structure of NaLiOs2O8. Source: the Alexandria database, functional PBE-GGA.

abc: 6.190 6.190 6.190
angles: 108.32 108.32 111.80
Atoms (fractional coordinates):
Na 0.000 0.000 0.000
Li 0.250 0.750 0.500
Os 0.500 0.500 0.000
Os 0.750 0.250 0.500
O 0.352 0.153 0.801
O 0.352 0.551 0.199
O 0.404 0.098 0.306
O 0.449 0.648 0.801
O 0.792 0.098 0.694
O 0.847 0.648 0.199
O 0.902 0.208 0.306
O 0.902 0.596 0.694

E_form (uncorrected): -14.1 eV per formula unit
Calculated total energy: -79.45 eV for the cell shown

No. 2
A relaxed structure of NaLiP2O. Source: the Alexandria database, functional PBE-GGA.

abc: 4.860 4.860 3.368
angles: 90.00 90.00 90.00
Atoms (fractional coordinates):
Na 0.000 0.000 0.000
Li 0.500 0.500 0.500
P 0.000 0.500 0.500
P 0.500 0.000 0.500
O 0.500 0.500 0.000

E_form (uncorrected): 1.6 eV per formula unit
Distance to the lowest polymorph of the same formula: 0.00 eV/f.u.
Calculated total energy: -17.45 eV for the cell shown

No. 3
A relaxed structure of Na2LiPO. Source: the Alexandria database, functional PBE-GGA.

abc: 5.301 5.301 3.241
angles: 90.00 90.00 90.00
Atoms (fractional coordinates):
Na 0.000 0.500 0.000
Na 0.500 0.000 0.000
Li 0.000 0.000 0.000
P 0.500 0.500 0.500
O 0.000 0.000 0.500

E_form (uncorrected): -2.1 eV per formula unit
Calculated total energy: -17.06 eV for the cell shown

No. 4
A relaxed structure of NaLiPO2. Source: the Alexandria database, functional PBE-GGA.

abc: 4.308 4.308 5.252
angles: 90.00 90.00 90.00
Atoms (fractional coordinates):
Na 0.000 0.000 0.000
Li 0.500 0.500 0.500
P 0.000 0.000 0.500
O 0.000 0.500 0.000
O 0.500 0.000 0.000

E_form (uncorrected): 2.9 eV per formula unit
Distance to the lowest polymorph of the same formula: 2.21 eV/f.u.
Calculated total energy: -15.67 eV for the cell shown

No. 5
A relaxed structure of NaLiP2O. Source: the Alexandria database, functional PBE-GGA.

abc: 4.995 4.995 4.065
angles: 90.00 90.00 90.00
Atoms (fractional coordinates):
Na 0.000 0.000 0.000
Li 0.500 0.500 0.500
P 0.000 0.500 0.000
P 0.500 0.000 0.000
O 0.000 0.000 0.500

E_form (uncorrected): 4.3 eV per formula unit
Distance to the lowest polymorph of the same formula: 2.76 eV/f.u.
Calculated total energy: -14.69 eV for the cell shown

No. 6
A relaxed structure of Na3LiP2O7. Source: the Alexandria database, functional PBE-GGA.

abc: 5.417 5.417 12.434
angles: 90.00 90.00 118.42
Atoms (fractional coordinates):
Na 0.049 0.698 0.618
Na 0.302 0.951 0.882
Na 0.347 0.347 0.500
Na 0.653 0.653 0.000
Na 0.698 0.049 0.382
Na 0.951 0.302 0.118
Li 0.456 0.544 0.250
Li 0.544 0.456 0.750
P 0.022 0.695 0.351
P 0.305 0.978 0.149
P 0.695 0.022 0.649
P 0.978 0.305 0.851
O 0.085 0.460 0.313
O 0.088 0.912 0.250
O 0.129 0.786 0.057
O 0.214 0.871 0.443
O 0.292 0.410 0.872
O 0.410 0.292 0.128
O 0.460 0.085 0.687
O 0.540 0.915 0.187
O 0.590 0.708 0.628
O 0.708 0.590 0.372
O 0.786 0.129 0.943
O 0.871 0.214 0.557
O 0.912 0.088 0.750
O 0.915 0.540 0.813

E_form (uncorrected): -29.5 eV per formula unit
Calculated total energy: -161.77 eV for the cell shown

No. 7
A relaxed structure of Na2LiPO4. Source: the Alexandria database, functional PBE-GGA.

abc: 5.868 5.868 5.264
angles: 90.00 90.00 90.00
Atoms (fractional coordinates):
Na 0.000 0.500 0.000
Na 0.000 0.500 0.500
Na 0.500 0.000 0.000
Na 0.500 0.000 0.500
Li 0.000 0.000 0.000
Li 0.500 0.500 0.500
P 0.000 0.000 0.500
P 0.500 0.500 0.000
O 0.150 0.150 0.320
O 0.150 0.850 0.680
O 0.350 0.350 0.820
O 0.350 0.650 0.180
O 0.650 0.350 0.180
O 0.650 0.650 0.820
O 0.850 0.150 0.680
O 0.850 0.850 0.320

E_form (uncorrected): -17.0 eV per formula unit
Calculated total energy: -93.66 eV for the cell shown

No. 8
A relaxed structure of NaLiPO2. Source: the Alexandria database, functional PBE-GGA.

abc: 3.957 3.957 4.164
angles: 90.00 90.00 90.00
Atoms (fractional coordinates):
Na 0.000 0.000 0.000
Li 0.500 0.500 0.500
P 0.500 0.500 0.000
O 0.000 0.500 0.500
O 0.500 0.000 0.500

E_form (uncorrected): 0.7 eV per formula unit
Distance to the lowest polymorph of the same formula: 0.00 eV/f.u.
Calculated total energy: -17.88 eV for the cell shown